# 1
Compound: Mg3Sb2
Source: Alexandria via LeMat-Bulk
Functional: PBEsol
Structure: relaxed

Summary:
As for the raw formation energy: -375 meV per atom.

Cell lengths 4.5570, 4.5570, 7.1924 Å; angles 90.00, 90.00, 120.00 degrees
With the nearest neighbours (Å) after each atom.
Space group P-3m1 (No. 164)
Symmetry-distinct sites (fractional):
Mg1 0.0000 0.0000 0.0000 (multiplicity 1)  6 Sb 3.08
Mg2 0.3333 0.6667 0.3675 (multiplicity 2)  4 Sb 2.83-2.94
Sb1 0.3333 0.6667 0.7761 (multiplicity 2)  7 Mg 2.83-3.08


# 2
Compound: MgSb2
Source: Alexandria via LeMat-Bulk
Functional: PBEsol
Structure: relaxed

Summary:
As for the raw formation energy: -70 meV per atom.

Cell lengths 4.3989, 4.3989, 4.3075 Å; angles 90.00, 90.00, 90.00 degrees
With the nearest neighbours (Å) after each atom.
Space group P4/mmm (No. 123)
Symmetry-distinct sites (fractional):
Mg1 0.0000 0.0000 0.0000 (multiplicity 1)  8 Sb 3.08
Sb1 0.0000 0.5000 0.5000 (multiplicity 2)  4 Mg 3.08, 4 Sb 3.11


# 3
Compound: MgSb
Source: Alexandria via LeMat-Bulk
Functional: PBEsol
Structure: relaxed

Summary:
As for the raw formation energy: -215 meV per atom.

Cell lengths 4.4157, 4.4157, 6.2960 Å; angles 90.00, 90.00, 120.00 degrees
With the nearest neighbours (Å) after each atom.
Space group P6_3/mmc (No. 194)
Symmetry-distinct sites (fractional):
Mg1 0.3333 0.6667 0.2500 (multiplicity 2)  6 Sb 3.00
Sb1 0.0000 0.0000 0.0000 (multiplicity 2)  6 Mg 3.00, 2 Sb 3.15


# 4
Compound: Mg3Sb2
Source: Alexandria via LeMat-Bulk
Functional: PBEsol
Structure: relaxed

Summary:
As for the raw formation energy: -357 meV per atom.

Cell lengths 13.2926, 13.2926, 13.2926 Å; angles 90.00, 90.00, 90.00 degrees
With the nearest neighbours (Å) after each atom.
Space group Ia-3 (No. 206)
Symmetry-distinct sites (fractional):
Mg1 0.1101 0.1335 0.6276 (multiplicity 48)  4 Sb 2.82-2.92
Sb1 0.0000 0.0000 0.0000 (multiplicity 8)  6 Mg 2.86
Sb2 0.0000 0.2500 0.2660 (multiplicity 24)  6 Mg 2.82-2.92


# 5
Compound: MgSb3
Source: Alexandria via LeMat-Bulk
Functional: PBEsol
Structure: relaxed

Summary:
As for the raw formation energy: 91 meV per atom.

Cell lengths 3.3151, 3.3151, 10.5376 Å; angles 90.00, 90.00, 120.00 degrees
With the nearest neighbours (Å) after each atom.
Space group P-6m2 (No. 187)
Symmetry-distinct sites (fractional):
Mg1 0.0000 0.0000 0.0000 (multiplicity 1)  6 Sb 3.11, 6 Mg 3.32
Sb1 0.0000 0.0000 0.5000 (multiplicity 1)  12 Sb 3.32-3.41
Sb2 0.3333 0.6667 0.2322 (multiplicity 2)  3 Mg 3.11, 9 Sb 3.32-3.41


# 6
Compound: MgSb4
Source: Alexandria via LeMat-Bulk
Functional: PBEsol
Structure: relaxed

Summary:
As for the raw formation energy: 155 meV per atom.

Cell lengths 5.8910, 5.8910, 8.7345 Å; angles 90.00, 90.00, 90.00 degrees
With the nearest neighbours (Å) after each atom.
Space group I4/mmm (No. 139)
Symmetry-distinct sites (fractional):
Mg1 0.0000 0.0000 0.0000 (multiplicity 2)  2 Sb 2.86
Sb1 0.0000 0.0000 0.3270 (multiplicity 4)  1 Mg 2.86, 5 Sb 3.02
Sb2 0.0000 0.5000 0.2500 (multiplicity 4)  4 Sb 3.02


# 7
Compound: MgSb
Source: Alexandria via LeMat-Bulk
Functional: PBEsol
Structure: relaxed

Summary:
As for the raw formation energy: -231 meV per atom.

Cell lengths 6.3786, 4.3362, 7.7818 Å; angles 90.00, 90.00, 90.00 degrees
With the nearest neighbours (Å) after each atom.
Space group Pnma (No. 62)
Symmetry-distinct sites (fractional):
Mg1 0.1997 0.2500 0.0852 (multiplicity 4)  5 Sb 2.84-3.06
Sb1 0.0617 0.2500 0.7379 (multiplicity 4)  5 Mg 2.84-3.06


# 8
Compound: MgSb
Source: Alexandria via LeMat-Bulk
Functional: PBEsol
Structure: relaxed

Summary:
As for the raw formation energy: -169 meV per atom.

Cell lengths 3.3893, 3.3893, 4.1098 Å; angles 90.00, 90.00, 90.00 degrees
With the nearest neighbours (Å) after each atom.
Space group P4/mmm (No. 123)
Symmetry-distinct sites (fractional):
Mg1 0.0000 0.0000 0.0000 (multiplicity 1)  8 Sb 3.16, 4 Mg 3.39
Sb1 0.5000 0.5000 0.5000 (multiplicity 1)  8 Mg 3.16, 4 Sb 3.39


# 9
Compound: MgSb
Source: Alexandria via LeMat-Bulk
Functional: PBEsol
Structure: relaxed

Summary:
As for the raw formation energy: -135 meV per atom.

Cell lengths 3.6161, 3.6161, 3.6161 Å; angles 90.00, 90.00, 90.00 degrees
With the nearest neighbours (Å) after each atom.
Space group Pm-3m (No. 221)
Symmetry-distinct sites (fractional):
Mg1 0.0000 0.0000 0.0000 (multiplicity 1)  8 Sb 3.13
Sb1 0.5000 0.5000 0.5000 (multiplicity 1)  8 Mg 3.13


# 10
Compound: MgSb2
Source: Alexandria via LeMat-Bulk
Functional: PBEsol
Structure: relaxed

Summary:
As for the raw formation energy: -76 meV per atom.

Cell lengths 3.3313, 4.1007, 11.0764 Å; angles 90.00, 90.00, 90.00 degrees
With the nearest neighbours (Å) after each atom.
Space group Immm (No. 71)
Symmetry-distinct sites (fractional):
Mg1 0.0000 0.0000 0.0000 (multiplicity 2)  8 Sb 3.05, 2 Mg 3.33
Sb1 0.0000 0.0000 0.3618 (multiplicity 4)  4 Mg 3.05, 3 Sb 3.06-3.33


# 11
Compound: MgSb2
Source: Alexandria via LeMat-Bulk
Functional: PBEsol
Structure: relaxed

Summary:
As for the raw formation energy: -57 meV per atom.

Cell lengths 3.2731, 3.2731, 13.7710 Å; angles 90.00, 90.00, 90.00 degrees
With the nearest neighbours (Å) after each atom.
Space group I4/mmm (No. 139)
Symmetry-distinct sites (fractional):
Mg1 0.0000 0.0000 0.0000 (multiplicity 2)  8 Sb 3.11, 4 Mg 3.27
Sb1 0.0000 0.0000 0.3497 (multiplicity 4)  4 Mg 3.11, 4 Sb 3.27


# 12
Compound: Mg7Sb
Source: Alexandria via LeMat-Bulk
Functional: PBEsol
Structure: relaxed

Summary:
As for the raw formation energy: -89 meV per atom.

Cell lengths 8.9664, 8.9664, 8.9664 Å; angles 90.00, 90.00, 90.00 degrees
With the nearest neighbours (Å) after each atom.
Space group Fm-3m (No. 225)
Symmetry-distinct sites (fractional):
Mg1 0.0000 0.0000 0.0000 (multiplicity 4)  12 Mg 3.17
Mg2 0.0000 0.2500 0.2500 (multiplicity 24)  2 Sb 3.17, 10 Mg 3.17
Sb1 0.0000 0.0000 0.5000 (multiplicity 4)  12 Mg 3.17